# 1
A plane-wave DFT calculation with PBE was carried out for an optimized crystal structure of Er6Lu2S.

Its total energy is -4.880 eV/atom.

The structure belongs to space group P-62m (No. 189); the cell edges are 8.9057, 8.9057 and 3.6782 Å and the angles 90.00°, 90.00° and 120.00°. The inequivalent atoms are Er at (0.0000, 0.2465, 0.0000), Er at (0.0000, 0.6022, 0.5000), Lu at (0.3333, 0.6667, 0.0000) and S at (0.0000, 0.0000, 0.5000).

=====

# 2
A plane-wave DFT calculation with PBE was carried out for an optimized crystal structure of ErLu2Sb3.

Its total energy is -5.373 eV/atom.

The structure belongs to space group P-3m1 (No. 164); the cell edges are 4.3192, 4.3192 and 10.5735 Å and the angles 90.00°, 90.00° and 120.00°. The inequivalent atoms are Er at (0.0000, 0.0000, 0.0000), Lu at (0.3333, 0.6667, 0.6664), Sb at (0.0000, 0.0000, 0.5000) and Sb at (0.3333, 0.6667, 0.1690).

=====

# 3
A plane-wave DFT calculation with PBE was carried out for an optimized crystal structure of ErLuSc2Sb2.

Its total energy is -5.781 eV/atom.

The structure belongs to space group I4mm (No. 107); the cell edges are 4.306, 4.306 and 16.128 Å and the angles 90.00°, 90.00° and 90.00°. The inequivalent atoms are Er at (0.000, 0.000, 0.000), Lu at (0.000, 0.000, 0.352), Sc at (0.000, 0.500, 0.177), Sb at (0.000, 0.000, 0.543) and Sb at (0.000, 0.000, 0.809).

=====

# 4
A plane-wave DFT calculation with PBE was carried out for an optimized crystal structure of Er2LuScTl2.

Its total energy is -4.367 eV/atom.

The structure belongs to space group P-6m2 (No. 187); the cell edges are 5.2368, 5.2368 and 6.5875 Å and the angles 90.00°, 90.00° and 120.00°. The inequivalent atoms are Er at (0.0000, 0.0000, 0.2445), Lu at (0.3333, 0.6667, 0.5000), Sc at (0.6667, 0.3333, 0.0000), Tl at (0.3333, 0.6667, 0.0000) and Tl at (0.6667, 0.3333, 0.5000).

=====

# 5
A plane-wave DFT calculation with PBE was carried out for an optimized crystal structure of Er2LuSe3.

Its total energy is -5.674 eV/atom.

The structure belongs to space group P-3m1 (No. 164); the cell edges are 3.9965, 3.9965 and 9.8845 Å and the angles 90.00°, 90.00° and 120.00°. The inequivalent atoms are Er at (0.3333, 0.6667, 0.1666), Lu at (0.0000, 0.0000, 0.5000), Se at (0.0000, 0.0000, 0.0000) and Se at (0.3333, 0.6667, 0.6628).

=====

# 6
A plane-wave DFT calculation with PBE was carried out for an optimized crystal structure of Er3Lu5Se.

Its total energy is -4.768 eV/atom.

The structure belongs to space group P-62m (No. 189); the cell edges are 8.9025, 8.9025 and 3.6811 Å and the angles 90.00°, 90.00° and 120.00°. The inequivalent atoms are Er at (0.0000, 0.6074, 0.0000), Lu at (0.0000, 0.2602, 0.5000), Lu at (0.3333, 0.6667, 0.5000) and Se at (0.0000, 0.0000, 0.0000).

=====

# 7
A plane-wave DFT calculation with PBE was carried out for an optimized crystal structure of ErLu2Se3.

Its total energy is -5.632 eV/atom.

The structure belongs to space group P-3m1 (No. 164); the cell edges are 3.9768, 3.9768 and 9.8541 Å and the angles 90.00°, 90.00° and 120.00°. The inequivalent atoms are Er at (0.0000, 0.0000, 0.0000), Lu at (0.3333, 0.6667, 0.6668), Se at (0.0000, 0.0000, 0.5000) and Se at (0.3333, 0.6667, 0.1708).

=====

# 8
A plane-wave DFT calculation with PBE was carried out for an optimized crystal structure of ErLuSi.

As for the excess energy over the best structure of this formula in the dataset: 0.0 meV/atom.

The structure belongs to space group F-43m (No. 216); the cell edges are 6.727, 6.727 and 6.727 Å and the angles 90.00°, 90.00° and 90.00°. The inequivalent atoms are Er at (0.000, 0.000, 0.000), Lu at (0.000, 0.000, 0.500) and Si at (0.250, 0.250, 0.250).

=====

# 9
A plane-wave DFT calculation with PBE was carried out for an optimized crystal structure of ErLuSi2Tc.

Its total energy is -6.829 eV/atom.

The structure belongs to space group C2/m (No. 12); the cell edges are 10.640, 4.146 and 9.954 Å and the angles 90.00°, 117.95° and 90.00°. The inequivalent atoms are Er at (0.188, 0.000, 0.110), Lu at (0.004, 0.000, 0.676), Si at (0.004, 0.500, 0.878), Si at (0.138, 0.500, 0.559) and Tc at (0.228, 0.500, 0.370).

=====

# 10
A plane-wave DFT calculation with PBE was carried out for an optimized crystal structure of ErLuSi2W.

Its total energy is -7.161 eV/atom.

The structure belongs to space group C2/m (No. 12); the cell edges are 11.322, 3.963 and 10.045 Å and the angles 90.00°, 118.76° and 90.00°. The inequivalent atoms are Er at (0.186, 0.000, 0.112), Lu at (0.019, 0.000, 0.686), Si at (0.002, 0.500, 0.878), Si at (0.122, 0.500, 0.555) and W at (0.225, 0.500, 0.378).

=====

# 11
A plane-wave DFT calculation with PBE was carried out for an optimized crystal structure of SmErLu.

As for the excess energy over the best structure of this formula in the dataset: 0.0 meV/atom. Its energy of formation from the pure elements is 0.71 eV/atom.

The structure belongs to space group F-43m (No. 216); the cell edges are 7.603, 7.603 and 7.603 Å and the angles 90.00°, 90.00° and 90.00°. The inequivalent atoms are Sm at (0.000, 0.000, 0.000), Er at (0.000, 0.000, 0.500) and Lu at (0.250, 0.250, 0.750).

=====

# 12
A plane-wave DFT calculation with PBE was carried out for an optimized crystal structure of ErLuSn.

As for the excess energy over the best structure of this formula in the dataset: 674.0 meV/atom.

The structure belongs to space group F-43m (No. 216); the cell edges are 7.277, 7.277 and 7.277 Å and the angles 90.00°, 90.00° and 90.00°. The inequivalent atoms are Er at (0.000, 0.000, 0.000), Lu at (0.250, 0.250, 0.250) and Sn at (0.000, 0.000, 0.500).